--- i ---
VASP calculation (PBE) on an optimized crystal structure of La3Hg.

Cell: 5.8264 6.9450 6.2691 Å, 90.00 90.00 90.00°
Space group Pmmn (No. 59, origin choice 2)
Symmetry-distinct sites (fractional):
La 0.2500 0.9996 0.1189
La 0.2500 0.2500 0.5961
Hg 0.2500 0.7500 0.6576

Summary:
The total magnetization comes out at 0.00 μB/atom.

--- ii ---
VASP calculation (PBE) on an optimized crystal structure of La3Hg.

Cell: 7.8156 11.5783 5.6929 Å, 90.00 90.00 90.00°
Space group Cmcm (No. 63)
Symmetry-distinct sites (fractional):
La 0.0000 0.0885 0.2500
La 0.2315 0.3699 0.2500
Hg 0.0000 0.3718 0.7500

Summary:
The total magnetization comes out at 0.00 μB/atom.

--- iii ---
VASP calculation (PBE) on an optimized crystal structure of La3Hg.

Cell: 3.7522 11.5422 6.0661 Å, 90.00 90.00 90.00°
Space group Imm2 (No. 44)
Symmetry-distinct sites (fractional):
La 0.0000 0.0000 0.0000
La 0.0000 0.2186 0.3919
Hg 0.0000 0.5000 0.0507

Summary:
The total magnetization comes out at 0.00 μB/atom.

Last place for stability: i